(1)
Here is a geometry-optimized Tb2Ni15Sn2 structure from Alexandria. Energies are from GGA-PBE.

Unit cell a=6.425 b=6.425 c=6.425 alpha=82.63 beta=82.63 gamma=82.63
Last column: magnetic moment on the atom in μB.
Sites, in units of the cell vectors:
Tb: 0.357 0.357 0.357  -0.05
Tb: 0.643 0.643 0.643  -0.05
Ni: 0.500 0.000 0.000  0.24
Ni: 0.000 0.000 0.500  0.24
Ni: 0.000 0.500 0.000  0.24
Ni: 0.000 0.695 0.305  0.28
Ni: 0.695 0.305 0.000  0.28
Ni: 0.305 0.000 0.695  0.28
Ni: 0.305 0.695 0.000  0.28
Ni: 0.695 0.000 0.305  0.28
Ni: 0.000 0.305 0.695  0.28
Ni: 0.160 0.652 0.652  0.27
Ni: 0.652 0.652 0.160  0.27
Ni: 0.652 0.160 0.652  0.27
Ni: 0.840 0.348 0.348  0.27
Ni: 0.348 0.348 0.840  0.27
Ni: 0.348 0.840 0.348  0.27
Sn: 0.111 0.111 0.111  0.00
Sn: 0.889 0.889 0.889  0.00

Values from the calculation:
- Symmetry: No. 166
- ΔE_f: -0.19 eV per atom

=====

(2)
Here is a geometry-optimized Tb12Ni5Sn structure from Alexandria. Energies are from GGA-PBE.

Unit cell a=8.366 b=8.366 c=8.366 alpha=106.99 beta=111.67 gamma=109.79
Sites, in units of the cell vectors:
Tb: 0.522 0.818 0.704
Tb: 0.478 0.182 0.296
Tb: 0.885 0.182 0.704
Tb: 0.115 0.818 0.296
Tb: 0.694 0.678 0.373
Tb: 0.306 0.322 0.627
Tb: 0.306 0.678 0.984
Tb: 0.694 0.322 0.016
Tb: 0.809 0.599 0.790
Tb: 0.191 0.401 0.210
Tb: 0.191 0.981 0.790
Tb: 0.809 0.019 0.210
Ni: 0.634 0.634 0.000
Ni: 0.366 0.366 0.000
Ni: 0.500 0.124 0.624
Ni: 0.500 0.876 0.376
Ni: 0.000 0.000 0.000
Sn: 0.000 0.500 0.500

Values from the calculation:
- Symmetry: No. 71
- ΔE_f: -0.37 eV per atom